DFT (PBE) results for a relaxed RbGe3Pd crystal.

Values from the calculation:
Fermi-level density of states in states/eV/cell: 5.1
Energy above the lowest structure with this stoichiometry in kJ/mol of atoms: 0.00
DFT formation energy in eV per atom: 0.261
ρ in g cm⁻³: 5.22

Cell and atoms, written as extended XYZ:
```
5
Lattice="5.0692 0.0000 0.0000 0.0000 5.0692 0.0000 0.0000 0.0000 5.0692" Properties=species:S:1:pos:R:3 pbc="T T T"
Rb 0.0000 0.0000 0.0000
Ge 0.0000 2.5346 2.5346
Ge 2.5346 0.0000 2.5346
Ge 2.5346 2.5346 0.0000
Pd 2.5346 2.5346 2.5346
```